PmTmIn4, optimized geometry, DFT PBE; energy relative to the elements = -379 meV/atom
1.0
8.543 0.000 0.000
0.000 21.123 0.000
0.000 0.000 3.485
Pm Tm In
4 4 16
direct
0.106 0.185 0.000
0.394 0.685 0.000
0.606 0.315 0.000
0.894 0.815 0.000
0.108 0.424 0.000
0.392 0.924 0.000
0.608 0.076 0.000
0.892 0.576 0.000
0.063 0.685 0.500
0.069 0.932 0.500
0.218 0.552 0.500
0.229 0.807 0.500
0.271 0.307 0.500
0.282 0.052 0.500
0.431 0.432 0.500
0.437 0.185 0.500
0.563 0.815 0.500
0.569 0.568 0.500
0.718 0.948 0.500
0.729 0.693 0.500
0.771 0.193 0.500
0.782 0.448 0.500
0.931 0.068 0.500
0.937 0.315 0.500


YAl2Cu, optimized geometry, DFT PBE; energy relative to the elements = -353 meV/atom
1.0
3.645 -2.106 0.000
3.645 2.106 0.000
-2.438 0.000 5.133
Y Al Cu
1 2 1
direct
0.000 0.000 0.000
0.207 0.207 0.622
0.466 0.466 0.397
0.801 0.801 0.402


KTaAg2, optimized geometry, DFT PBE; energy relative to the elements = 954 meV/atom
1.0
-1.414 3.123 5.756
1.414 -3.123 5.756
1.414 3.123 -5.756
K Ta Ag
1 1 2
direct
0.000 0.000 0.000
0.500 0.500 0.000
0.287 0.787 0.500
0.713 0.213 0.500


- energy relative to the elements of number 2 (YAl2Cu)?
  -353 meV/atom


- Which value of energy relative to the elements does entry 3 give?
  954 meV/atom


- The lowest energy relative to the elements belongs to which entry?
  PmTmIn4